Below is a relaxed structure of LiCo2O4, with properties calculated at the PBE with a Hubbard U level.

abc: 5.620 10.114 4.868
angles: 90.00 90.00 90.00
Atoms (fractional coordinates):
Li  0.250  0.250  0.020
Li  0.250  0.750  0.656
Li  0.750  0.250  0.344
Li  0.750  0.750  0.980
Co  0.000  0.000  0.500
Co  0.000  0.500  0.500
Co  0.250  0.505  0.003
Co  0.250  0.995  0.003
Co  0.500  0.000  0.500
Co  0.500  0.500  0.500
Co  0.750  0.005  0.997
Co  0.750  0.495  0.997
O  0.002  0.100  0.171
O  0.002  0.400  0.171
O  0.250  0.094  0.674
O  0.250  0.406  0.674
O  0.250  0.599  0.345
O  0.250  0.901  0.345
O  0.498  0.100  0.171
O  0.498  0.400  0.171
O  0.502  0.600  0.829
O  0.502  0.900  0.829
O  0.750  0.099  0.655
O  0.750  0.401  0.655
O  0.750  0.594  0.326
O  0.750  0.906  0.326
O  0.998  0.600  0.829
O  0.998  0.900  0.829

Polymorph energy (0 for the lowest one): 0.0068 eV per atom
Energy: -160.0 eV for the cell shown